A relaxed Ho2Mg crystal. Source: the Open Quantum Materials Database, functional PBE.

Calculated values
The total DFT energy (no corrections) comes out at -21.177 eV/cell. For the volume, the calculation gives 87 Å³/f.u. The symmetry is P-3m1, No. 164. The total magnetic moment is 0.70 Bohr magnetons per cell.

Lattice parameters (Å, degrees): 3.4744 3.4744 16.6231 90.00 90.00 120.00
Element x y z (fractional)
Ho1 0.6667 0.3333 0.1635
Ho2 0.6667 0.3333 0.5086
Ho3 0.0000 0.0000 0.9914
Ho4 0.0000 0.0000 0.3365
Mg1 0.6667 0.3333 0.8255
Mg2 0.0000 0.0000 0.6745